## BMo2F (GGA+U)

Data for BMo2F after structural relaxation.

DOS at the Fermi energy   1.66 states/eV per cell
Distance to the lowest polymorph of the same formula   0.0732 eV/atom
Total DFT energy (no corrections)   -40.33 eV per cell
Volume   13.75 A^3/atom

a b c (Å): 5.2288 5.2288 5.2288
angles (deg): 108.96 108.96 110.50
Sites, in units of the cell vectors:
B 0.0000 0.0000 0.0000
B 0.7500 0.2500 0.5000
Mo 0.1083 0.6250 0.9833
Mo 0.3750 0.3583 0.4833
Mo 0.6417 0.1250 0.0167
Mo 0.8750 0.8917 0.5167
F 0.2500 0.7500 0.5000
F 0.5000 0.5000 0.0000